DFT (GGA-PBE) results for a geometry-optimized NpI2F2 structure.

Cell and atoms, written as CIF:
```
data_NpI2F2
_chemical_formula_sum 'Np4 I8 F8'
_cell_length_a 14.103
_cell_length_b 6.365
_cell_length_c 6.506
_cell_angle_alpha 90.00
_cell_angle_beta 99.89
_cell_angle_gamma 90.00
_symmetry_space_group_name_H-M 'C 1 2/c 1'
_symmetry_Int_Tables_number 15
loop_
_symmetry_equiv_pos_as_xyz
'x,y,z'
'-x,-y,-z'
'-x,y,-z+1/2'
'x,-y,z+1/2'
'x+1/2,y+1/2,z'
'-x+1/2,-y+1/2,-z'
'-x+1/2,y+1/2,-z+1/2'
'x+1/2,-y+1/2,z+1/2'
loop_
_atom_site_label
_atom_site_type_symbol
_atom_site_fract_x
_atom_site_fract_y
_atom_site_fract_z
Np1 Np 0.000 0.172 0.250
I1 I 0.133 0.448 0.633
F1 F 0.082 0.056 0.981
```

- total magnetic moment (μB per formula unit) = 3.56
- DOS at the Fermi energy (states/eV/atom) = 1.59
- E_form (uncorrected) (eV per atom) = -1.994
- energy (eV for the cell shown) = -119.023
- density (Mg/m³) = 6.1